Below is a geometry-optimized V2CrInN structure, with properties calculated at the PBE level.

Cell lengths 5.1828, 5.1828, 5.0879 Å; angles 90.00, 90.00, 90.00 degrees
Closest atoms and distances in Å follow each position.
Element x y z (fractional)
Cr 0.0000 0.0000 0.5000  2 In 2.54
V 0.5000 0.0000 0.0000  2 In 2.59
N 0.5000 0.5000 0.5000  8 V 3.63, 4 Cr 3.66
In 0.0000 0.0000 0.0000  2 Cr 2.54, 4 V 2.59
V 0.0000 0.5000 0.0000  2 In 2.59

Calculated values
Formation energy without anion corrections ... 2.537 eV per atom
Energy ... -26.2 eV for the cell shown
Symmetry ... P4/mmm